[1]
A plane-wave DFT calculation with GGA-PBE was carried out for a relaxed Dy3Al3Cu crystal.

Output
space-group type	C2/m, No. 12
E_form	-2.7	eV per formula unit

a = 5.8036 Å, b = 5.8036 Å, c = 14.3639 Å
α = 108.87°, β = 108.87°, γ = 44.84°
Closest atoms and distances in Å follow each position.
Element x y z (fractional)
Dy: 0.0330 0.0330 0.3829  7 Al 3.07-3.31, 4 Cu 3.12-3.19
Dy: 0.0998 0.0998 0.9202  7 Al 3.09-3.18
Dy: 0.2481 0.2481 0.2288  6 Al 3.10-3.14, 2 Cu 3.28
Dy: 0.7519 0.7519 0.7712  6 Al 3.10-3.14, 2 Cu 3.28
Dy: 0.9002 0.9002 0.0798  7 Al 3.09-3.18
Dy: 0.9670 0.9670 0.6171  7 Al 3.07-3.31, 4 Cu 3.12-3.19
Al: 0.3603 0.3603 0.4596  3 Cu 2.52-2.70, 1 Al 2.81
Al: 0.3890 0.3890 0.9237  2 Al 2.61-2.66
Al: 0.4545 0.4545 0.7613  1 Cu 2.56, 1 Al 2.66
Al: 0.5455 0.5455 0.2387  1 Cu 2.56, 1 Al 2.66
Al: 0.6110 0.6110 0.0763  2 Al 2.61-2.66
Al: 0.6397 0.6397 0.5404  3 Cu 2.52-2.70, 1 Al 2.81
Cu: 0.2497 0.2497 0.6019  4 Al 2.52-2.70
Cu: 0.7503 0.7503 0.3981  4 Al 2.52-2.70

=====

[2]
A plane-wave DFT calculation with GGA-PBE was carried out for a relaxed AcSm2ErTm4 crystal.

Output
space-group type	Pmmm, No. 47
E_form	0.4	eV per formula unit

a = 5.0937 Å, b = 5.1176 Å, c = 10.0225 Å
α = 90.00°, β = 90.00°, γ = 90.00°
Closest atoms and distances in Å follow each position.
Element x y z (fractional)
Ac: 0.0000 0.0000 0.0000  4 Sm 3.61, 8 Tm 3.63-3.64
Sm: 0.0000 0.0000 0.5000  8 Tm 3.51-3.52, 4 Er 3.61
Sm: 0.5000 0.5000 0.0000  4 Ac 3.61, 8 Tm 3.64
Er: 0.5000 0.5000 0.5000  8 Tm 3.51-3.52, 4 Sm 3.61
Tm: 0.0000 0.5000 0.2588  2 Er 3.51, 4 Sm 3.52-3.64, 4 Tm 3.61, 2 Ac 3.64
Tm: 0.0000 0.5000 0.7412  2 Er 3.51, 4 Sm 3.52-3.64, 4 Tm 3.61, 2 Ac 3.64
Tm: 0.5000 0.0000 0.2587  4 Sm 3.51-3.64, 2 Er 3.52, 4 Tm 3.61, 2 Ac 3.63
Tm: 0.5000 0.0000 0.7413  4 Sm 3.51-3.64, 2 Er 3.52, 4 Tm 3.61, 2 Ac 3.63

=====

[3]
A plane-wave DFT calculation with GGA-PBE was carried out for a relaxed BeSbBr2 crystal.

Output
formation energy without anion corrections	0.6696	eV/atom
polymorph energy (0 for the lowest one)	0.991	eV/atom
space-group type	Fm-3m, No. 225

a = 5.1116 Å, b = 5.1116 Å, c = 5.1116 Å
α = 60.00°, β = 60.00°, γ = 60.00°
Closest atoms and distances in Å follow each position.
Element x y z (fractional)
Be: 0.0000 0.0000 0.0000  8 Br 3.13
Sb: 0.5000 0.5000 0.5000  8 Br 3.13
Br: 0.2500 0.2500 0.2500  4 Sb 3.13, 4 Be 3.13
Br: 0.7500 0.7500 0.7500  4 Sb 3.13, 4 Be 3.13

=====

[4]
A plane-wave DFT calculation with GGA-PBE was carried out for a relaxed HfSi3Pd crystal.

Output
formation energy without anion corrections	1.0129	eV/atom
space-group type	Pm-3m, No. 221

a = 4.9883 Å, b = 4.9883 Å, c = 4.9883 Å
α = 90.00°, β = 90.00°, γ = 90.00°
Closest atoms and distances in Å follow each position.
Element x y z (fractional)
Hf: 0.0000 0.0000 0.0000  6 Si 2.49
Si: 0.0000 0.0000 0.5000  2 Hf 2.49
Si: 0.0000 0.5000 0.0000  2 Hf 2.49
Si: 0.5000 0.0000 0.0000  2 Hf 2.49
Pd: 0.5000 0.5000 0.5000  12 Si 3.53

=====

[5]
A plane-wave DFT calculation with GGA-PBE was carried out for a relaxed HoAg2Pb crystal.

Output
space-group type	P4/mmm, No. 123
E_form	-0.8	eV per formula unit

a = 4.5210 Å, b = 4.5210 Å, c = 4.5174 Å
α = 90.00°, β = 90.00°, γ = 90.00°
Closest atoms and distances in Å follow each position.
Element x y z (fractional)
Ho: 0.0000 0.0000 0.0000  8 Ag 3.20, 4 Pb 3.20
Ag: 0.0000 0.5000 0.5000  4 Pb 3.20, 4 Ho 3.20, 4 Ag 3.20
Ag: 0.5000 0.0000 0.5000  4 Pb 3.20, 4 Ho 3.20, 4 Ag 3.20
Pb: 0.5000 0.5000 0.0000  8 Ag 3.20, 4 Ho 3.20

=====

[6]
A plane-wave DFT calculation with GGA-PBE was carried out for a relaxed CaAcSn6 crystal.

Output
polymorph energy (0 for the lowest one)	0.000	eV/atom
space-group type	P4/mmm, No. 123
E_form	-3.5	eV per formula unit

a = 4.8673 Å, b = 4.8673 Å, c = 9.6107 Å
α = 90.00°, β = 90.00°, γ = 90.00°
Closest atoms and distances in Å follow each position.
Element x y z (fractional)
Ca: 0.0000 0.0000 0.0000  12 Sn 3.35-3.44
Ac: 0.0000 0.0000 0.5000  12 Sn 3.44-3.49
Sn: 0.0000 0.5000 0.2397  8 Sn 3.35-3.49, 2 Ca 3.35, 2 Ac 3.49
Sn: 0.0000 0.5000 0.7603  8 Sn 3.35-3.49, 2 Ca 3.35, 2 Ac 3.49
Sn: 0.5000 0.0000 0.2397  8 Sn 3.35-3.49, 2 Ca 3.35, 2 Ac 3.49
Sn: 0.5000 0.0000 0.7603  8 Sn 3.35-3.49, 2 Ca 3.35, 2 Ac 3.49
Sn: 0.5000 0.5000 0.0000  8 Sn 3.35, 4 Ca 3.44
Sn: 0.5000 0.5000 0.5000  4 Ac 3.44, 8 Sn 3.49

=====

[7]
A plane-wave DFT calculation with GGA-PBE was carried out for a relaxed In16Sn12Bi crystal.

Output
space-group type	Cm, No. 8
E_form	1.1	eV per formula unit

a = 9.9775 Å, b = 9.9775 Å, c = 10.3983 Å
α = 109.19°, β = 109.19°, γ = 107.28°
Closest atoms and distances in Å follow each position.
Element x y z (fractional)
In: 0.0000 0.0000 0.0000  8 Sn 3.47-3.72, 4 In 3.51-3.60
In: 0.0006 0.0006 0.3469  3 In 3.35-3.60, 6 Sn 3.43-3.68, 1 Bi 3.56
In: 0.0049 0.3539 0.0024  4 In 3.23-3.51, 4 Sn 3.32-3.52
In: 0.0104 0.3237 0.5954  5 Sn 3.21-3.55, 5 In 3.35-3.58
In: 0.0181 0.6050 0.3124  5 Sn 3.14-3.39, 2 In 3.30-3.46
In: 0.3001 0.7107 0.7065  5 Sn 3.11-3.38, 1 In 3.23
In: 0.3116 0.5920 0.0010  5 Sn 3.24-3.47, 3 In 3.28-3.61, 1 Bi 3.36
In: 0.3237 0.0104 0.5954  5 Sn 3.21-3.55, 5 In 3.35-3.58
In: 0.3539 0.0049 0.0024  4 In 3.23-3.51, 4 Sn 3.32-3.52
In: 0.4152 0.7270 0.4065  5 Sn 3.24-3.59, 4 In 3.38-3.58, 1 Bi 3.39
In: 0.4258 0.4258 0.7478  5 Sn 3.20-3.43, 7 In 3.34-3.58
In: 0.5920 0.3116 0.0010  5 Sn 3.24-3.47, 3 In 3.28-3.61, 1 Bi 3.36
In: 0.6050 0.0181 0.3124  5 Sn 3.14-3.39, 2 In 3.30-3.46
In: 0.6603 0.6603 0.6638  4 In 3.34-3.58, 6 Sn 3.42-3.61
In: 0.7107 0.3001 0.7065  5 Sn 3.11-3.38, 1 In 3.23
In: 0.7270 0.4152 0.4065  5 Sn 3.24-3.59, 4 In 3.38-3.58, 1 Bi 3.39
Sn: 0.0005 0.8052 0.6048  3 Sn 3.11-3.23, 4 In 3.14-3.40, 1 Bi 3.44
Sn: 0.0095 0.6384 0.8107  3 Sn 3.11-3.33, 5 In 3.21-3.42
Sn: 0.1886 0.1886 0.8090  3 Sn 3.13-3.23, 7 In 3.20-3.49
Sn: 0.2089 0.8425 0.1950  3 Sn 3.16-3.33, 7 In 3.24-3.49
Sn: 0.2135 0.4089 0.4165  5 In 3.11-3.33, 3 Sn 3.14-3.23
Sn: 0.3481 0.3481 0.1702  3 Sn 3.13-3.23, 1 Bi 3.32, 7 In 3.32-3.48
Sn: 0.4089 0.2135 0.4165  5 In 3.11-3.33, 3 Sn 3.14-3.23
Sn: 0.6252 0.8227 0.0102  3 Sn 3.17-3.27, 4 In 3.22-3.43, 1 Bi 3.47
Sn: 0.6384 0.0095 0.8107  3 Sn 3.11-3.33, 5 In 3.21-3.42
Sn: 0.8052 0.0005 0.6048  3 Sn 3.11-3.23, 4 In 3.14-3.40, 1 Bi 3.44
Sn: 0.8227 0.6252 0.0102  3 Sn 3.17-3.27, 4 In 3.22-3.43, 1 Bi 3.47
Sn: 0.8425 0.2089 0.1950  3 Sn 3.16-3.33, 7 In 3.24-3.49
Bi: 0.6658 0.6658 0.2652  5 Sn 3.32-3.47, 7 In 3.36-3.65

=====

[8]
A plane-wave DFT calculation with GGA-PBE was carried out for a relaxed SrLaTcN3 crystal.

Output
formation energy without anion corrections	-0.6851	eV/atom
space-group type	P2_1/m, No. 11

a = 6.8860 Å, b = 3.5990 Å, c = 9.2844 Å
α = 90.00°, β = 98.20°, γ = 90.00°
Closest atoms and distances in Å follow each position.
Element x y z (fractional)
Sr: 0.2254 0.2500 0.2385  5 N 2.55-2.79
Sr: 0.7746 0.7500 0.7615  5 N 2.55-2.79
La: 0.1914 0.2500 0.6150  5 N 2.40-2.68
La: 0.8086 0.7500 0.3850  5 N 2.40-2.68
Tc: 0.3878 0.7500 0.9206  1 N 1.78
Tc: 0.6122 0.2500 0.0794  1 N 1.78
N: 0.1473 0.7500 0.8215  1 Tc 1.78
N: 0.1598 0.7500 0.4324  3 La 2.40-2.46, 2 Sr 2.63
N: 0.4863 0.7500 0.1394  3 Tc 2.05-2.11
N: 0.5137 0.2500 0.8606  3 Tc 2.05-2.11
N: 0.8402 0.2500 0.5676  3 La 2.40-2.46, 2 Sr 2.63
N: 0.8527 0.2500 0.1785  1 Tc 1.78

=====

[9]
A plane-wave DFT calculation with GGA-PBE was carried out for a relaxed Tb3PmTh2 crystal.

Output
polymorph energy (0 for the lowest one)	0.000	eV/atom
space-group type	P2_1/m, No. 11
E_form	0.6	eV per formula unit

a = 9.6803 Å, b = 3.5216 Å, c = 11.5556 Å
α = 90.00°, β = 93.79°, γ = 90.00°
Closest atoms and distances in Å follow each position.
Element x y z (fractional)
Tb: 0.0750 0.2500 0.1229  2 Th 3.41-3.54, 7 Tb 3.50-3.57, 2 Pm 3.54
Tb: 0.2382 0.2500 0.8611  6 Tb 3.39-3.52, 5 Th 3.52-3.56
Tb: 0.3996 0.2500 0.6093  5 Tb 3.39-3.73, 3 Pm 3.47-3.64, 4 Th 3.55-3.78
Tb: 0.6004 0.7500 0.3907  5 Tb 3.39-3.73, 3 Pm 3.47-3.64, 4 Th 3.55-3.78
Tb: 0.7618 0.7500 0.1389  6 Tb 3.39-3.52, 5 Th 3.52-3.56
Tb: 0.9250 0.7500 0.8771  2 Th 3.41-3.54, 7 Tb 3.50-3.57, 2 Pm 3.54
Pm: 0.2414 0.7500 0.3582  5 Tb 3.47-3.64, 5 Th 3.50-3.85, 2 Pm 3.52
Pm: 0.7586 0.2500 0.6418  5 Tb 3.47-3.64, 5 Th 3.50-3.85, 2 Pm 3.52
Th: 0.0819 0.7500 0.6215  5 Tb 3.41-3.55, 3 Pm 3.50-3.61, 4 Th 3.52-3.59
Th: 0.4413 0.2500 0.1249  6 Tb 3.52-3.78, 4 Th 3.52-3.63, 2 Pm 3.85
Th: 0.5587 0.7500 0.8751  6 Tb 3.52-3.78, 4 Th 3.52-3.63, 2 Pm 3.85
Th: 0.9181 0.2500 0.3785  5 Tb 3.41-3.55, 3 Pm 3.50-3.61, 4 Th 3.52-3.59

=====

[10]
A plane-wave DFT calculation with GGA-PBE was carried out for a relaxed Li2ZrMn crystal.

Output
polymorph energy (0 for the lowest one)	0.256	eV/atom
space-group type	P4/mmm, No. 123
E_form	1.8	eV per formula unit

a = 3.3090 Å, b = 3.3090 Å, c = 6.1858 Å
α = 90.00°, β = 90.00°, γ = 90.00°
Closest atoms and distances in Å follow each position.
Element x y z (fractional)
Li: 0.0000 0.0000 0.2122  1 Li 2.63, 4 Mn 2.68, 4 Zr 2.94
Li: 0.0000 0.0000 0.7878  1 Li 2.63, 4 Mn 2.68, 4 Zr 2.94
Zr: 0.5000 0.5000 0.5000  8 Li 2.94, 2 Mn 3.09
Mn: 0.5000 0.5000 0.0000  8 Li 2.68

=====

[11]
A plane-wave DFT calculation with GGA-PBE was carried out for a relaxed Sc2CuCl crystal.

Output
formation energy without anion corrections	-0.6680	eV/atom
polymorph energy (0 for the lowest one)	0.000	eV/atom
space-group type	Pmmm, No. 47

a = 3.2118 Å, b = 3.3398 Å, c = 7.4770 Å
α = 90.00°, β = 90.00°, γ = 90.00°
Closest atoms and distances in Å follow each position.
Element x y z (fractional)
Sc: 0.0000 0.0000 0.2117  2 Cl 2.69, 4 Cu 2.81
Sc: 0.0000 0.0000 0.7883  2 Cl 2.69, 4 Cu 2.81
Cu: 0.5000 0.5000 0.0000  8 Sc 2.81
Cl: 0.5000 0.0000 0.5000  4 Sc 2.69

=====

[12]
A plane-wave DFT calculation with GGA-PBE was carried out for a relaxed Sc2ZnFe crystal.

Output
space-group type	P4/mmm, No. 123
E_form	-0.7	eV per formula unit

a = 4.5079 Å, b = 4.5079 Å, c = 3.3080 Å
α = 90.00°, β = 90.00°, γ = 90.00°
Closest atoms and distances in Å follow each position.
Element x y z (fractional)
Sc: 0.0000 0.5000 0.0000  4 Fe 2.80, 4 Zn 2.80
Sc: 0.5000 0.0000 0.0000  4 Fe 2.80, 4 Zn 2.80
Zn: 0.0000 0.0000 0.5000  8 Sc 2.80
Fe: 0.5000 0.5000 0.5000  8 Sc 2.80

=====

[13]
A plane-wave DFT calculation with GGA-PBE was carried out for a relaxed Sm6Cd2Au crystal.

Output
space-group type	P2_1/c, No. 14
E_form	-1.7	eV per formula unit

a = 6.3405 Å, b = 8.3881 Å, c = 11.6257 Å
α = 90.00°, β = 117.71°, γ = 90.00°
Closest atoms and distances in Å follow each position.
Element x y z (fractional)
Sm: 0.0945 0.0508 0.2372  1 Au 2.97, 2 Cd 3.23-3.27
Sm: 0.0945 0.4492 0.7372  1 Au 2.97, 2 Cd 3.23-3.27
Sm: 0.1694 0.7100 0.0532  1 Au 3.01, 2 Cd 3.26-3.30
Sm: 0.1694 0.7900 0.5532  1 Au 3.01, 2 Cd 3.26-3.30
Sm: 0.3944 0.1541 0.0389  1 Au 3.06, 2 Cd 3.15-3.25, 2 Sm 3.23-3.42
Sm: 0.3944 0.3459 0.5389  1 Au 3.06, 2 Cd 3.15-3.25, 2 Sm 3.23-3.42
Sm: 0.6056 0.6541 0.4611  1 Au 3.06, 2 Cd 3.15-3.25, 2 Sm 3.23-3.42
Sm: 0.6056 0.8459 0.9611  1 Au 3.06, 2 Cd 3.15-3.25, 2 Sm 3.23-3.42
Sm: 0.8306 0.2100 0.4468  1 Au 3.01, 2 Cd 3.26-3.30
Sm: 0.8306 0.2900 0.9468  1 Au 3.01, 2 Cd 3.26-3.30
Sm: 0.9055 0.5508 0.2628  1 Au 2.97, 2 Cd 3.23-3.27
Sm: 0.9055 0.9492 0.7628  1 Au 2.97, 2 Cd 3.23-3.27
Cd: 0.3416 0.1090 0.7337  8 Sm 3.15-3.51, 1 Au 3.43
Cd: 0.3416 0.3910 0.2337  8 Sm 3.15-3.51, 1 Au 3.43
Cd: 0.6584 0.6090 0.7663  8 Sm 3.15-3.51, 1 Au 3.43
Cd: 0.6584 0.8910 0.2663  8 Sm 3.15-3.51, 1 Au 3.43
Au: 0.5000 0.0000 0.5000  6 Sm 2.97-3.06
Au: 0.5000 0.5000 0.0000  6 Sm 2.97-3.06